1.
MgZr2B2Ru5: relaxed, PBE-GGA.

Unit cell a=9.448 b=9.448 c=3.122 alpha=90.00 beta=90.00 gamma=90.00
Space group P4/mbm (No. 127)
Symmetry-distinct sites (fractional):
1 Mg 0.000 0.000 0.000 [2 per cell]
2 Zr 0.176 0.324 0.000 [4 per cell]
3 B 0.125 0.625 0.000 [4 per cell]
4 Ru 0.000 0.500 0.500 [2 per cell]
5 Ru 0.072 0.780 0.500 [8 per cell]

Output
Energy in eV per cell: -166.5
Size of the total moment in Bohr magnetons per cell: 0.000
Density in g/cm3: 8.7

***

2.
MgBS: relaxed, PBE-GGA.

Unit cell a=6.010 b=3.445 c=8.525 alpha=90.00 beta=110.57 gamma=90.00
Space group Cm (No. 8)
Symmetry-distinct sites (fractional):
1 Mg 0.000 0.000 0.000 [2 per cell]
2 Mg 0.051 0.500 0.397 [2 per cell]
3 B 0.324 0.000 0.588 [2 per cell]
4 B 0.489 0.500 0.590 [2 per cell]
5 S 0.260 0.500 0.186 [2 per cell]
6 S 0.263 0.000 0.797 [2 per cell]

Output
Raw formation energy in eV per atom: -0.49
Energy in eV per cell: -55.5
Relative energy among the computed polymorphs in meV per atom: 26.4
Size of the total moment in Bohr magnetons per cell: 0.000
Density in g/cm3: 2.7

***

3.
MgBS3: relaxed, PBE-GGA.

Unit cell a=6.697 b=3.183 c=9.380 alpha=90.00 beta=99.75 gamma=90.00
Space group P2_1/m (No. 11)
Symmetry-distinct sites (fractional):
1 Mg 0.238 0.250 0.420 [2 per cell]
2 B 0.312 0.250 0.791 [2 per cell]
3 S 0.062 0.250 0.652 [2 per cell]
4 S 0.320 0.750 0.912 [2 per cell]
5 S 0.495 0.750 0.341 [2 per cell]

Output
Raw formation energy in eV per atom: -0.45
Energy in eV per cell: -45.8
Relative energy among the computed polymorphs in meV per atom: 0.0
Size of the total moment in Bohr magnetons per cell: 0.001
Density in g/cm3: 2.2

***

4.
Mg2BS: relaxed, PBE-GGA.

Unit cell a=6.505 b=6.505 c=6.667 alpha=90.00 beta=90.00 gamma=90.00
Space group I-42d (No. 122)
Symmetry-distinct sites (fractional):
1 Mg 0.239 0.250 0.125 [8 per cell]
2 B 0.000 0.000 0.000 [4 per cell]
3 S 0.000 0.000 0.500 [4 per cell]

Output
Raw formation energy in eV per atom: 0.14
Energy in eV per cell: -53.7
Relative energy among the computed polymorphs in meV per atom: 0.0
Size of the total moment in Bohr magnetons per cell: 0.000
Density in g/cm3: 2.2

***

5.
MgBS: relaxed, PBE-GGA.

Unit cell a=10.621 b=3.292 c=7.124 alpha=90.00 beta=131.79 gamma=90.00
Space group Cm (No. 8)
Symmetry-distinct sites (fractional):
1 Mg 0.000 0.000 0.000 [2 per cell]
2 Mg 0.004 0.000 0.529 [2 per cell]
3 B 0.139 0.500 0.902 [2 per cell]
4 B 0.220 0.000 0.983 [2 per cell]
5 S 0.379 0.000 0.641 [2 per cell]
6 S 0.465 0.000 0.228 [2 per cell]

Output
Raw formation energy in eV per atom: -0.50
Energy in eV per cell: -55.6
Relative energy among the computed polymorphs in meV per atom: 14.8
Size of the total moment in Bohr magnetons per cell: 0.000
Density in g/cm3: 2.4

***

6.
MgBS: relaxed, PBE-GGA.

Unit cell a=3.557 b=3.287 c=8.324 alpha=90.00 beta=102.21 gamma=90.00
Space group P2_1/m (No. 11)
Symmetry-distinct sites (fractional):
1 Mg 0.092 0.250 0.186 [2 per cell]
2 B 0.479 0.250 0.958 [2 per cell]
3 S 0.359 0.250 0.714 [2 per cell]

Output
Raw formation energy in eV per atom: -0.52
Energy in eV per cell: -27.9
Relative energy among the computed polymorphs in meV per atom: 0.0
Size of the total moment in Bohr magnetons per cell: 0.000
Density in g/cm3: 2.3

***

7.
MgBS: relaxed, PBE-GGA.

Unit cell a=7.372 b=3.322 c=7.865 alpha=90.00 beta=96.80 gamma=90.00
Space group Cm (No. 8)
Symmetry-distinct sites (fractional):
1 Mg 0.000 0.000 0.000 [2 per cell]
2 Mg 0.074 0.000 0.588 [2 per cell]
3 B 0.294 0.249 0.392 [4 per cell]
4 S 0.228 0.500 0.160 [2 per cell]
5 S 0.422 0.000 0.771 [2 per cell]

Output
Raw formation energy in eV per atom: -0.45
Energy in eV per cell: -55.0
Relative energy among the computed polymorphs in meV per atom: 71.3
Size of the total moment in Bohr magnetons per cell: 0.000
Density in g/cm3: 2.3

***

8.
MgBS: relaxed, PBE-GGA.

Unit cell a=10.456 b=3.235 c=5.254 alpha=90.00 beta=91.84 gamma=90.00
Space group C2/m (No. 12)
Symmetry-distinct sites (fractional):
1 Mg 0.099 0.000 0.196 [4 per cell]
2 B 0.222 0.500 0.532 [4 per cell]
3 S 0.098 0.500 0.800 [4 per cell]

Output
Raw formation energy in eV per atom: -0.47
Energy in eV per cell: -55.2
Relative energy among the computed polymorphs in meV per atom: 48.2
Size of the total moment in Bohr magnetons per cell: 0.000
Density in g/cm3: 2.5